Record 1
DFT (PBE) results for an optimized crystal structure of BaHfAl2.

The structure belongs to space group I-42d (No. 122); the cell edges are 5.2370, 5.2370 and 19.5747 Å and the angles 90.00°, 90.00° and 90.00°. The distinct sites, in fractional coordinates, are Ba at (0.0000, 0.0000, 0.0000), Hf at (0.0000, 0.0000, 0.5000) and Al at (0.0416, 0.2500, 0.6250).

Its total DFT energy (no corrections) is -69.4 eV for the cell shown. Its energy above the most stable polymorph in this dataset is 0.270 eV/atom. The value obtained for the magnetization is 6.2 μB/cell. As for the formation energy: 501 meV per atom.


Record 2
DFT (PBE) results for an optimized crystal structure of BaHf2Al.

The structure belongs to space group Fm-3m (No. 225); the cell edges are 7.2544, 7.2544 and 7.2544 Å and the angles 90.00°, 90.00° and 90.00°. The distinct sites, in fractional coordinates, are Ba at (0.0000, 0.0000, 0.0000), Hf at (0.2500, 0.2500, 0.2500) and Al at (0.0000, 0.0000, 0.5000).

Its total DFT energy (no corrections) is -92.3 eV for the cell shown. Its energy above the most stable polymorph in this dataset is 0.000 eV/atom. The value obtained for the magnetization is 0.0 μB/cell. As for the formation energy: 622 meV per atom.


Record 3
DFT (PBE) results for an optimized crystal structure of BaHfAl2.

The structure belongs to space group Fm-3m (No. 225); the cell edges are 7.3566, 7.3566 and 7.3566 Å and the angles 90.00°, 90.00° and 90.00°. The distinct sites, in fractional coordinates, are Ba at (0.0000, 0.0000, 0.0000), Hf at (0.0000, 0.0000, 0.5000) and Al at (0.2500, 0.2500, 0.2500).

Its total DFT energy (no corrections) is -73.8 eV for the cell shown. Its energy above the most stable polymorph in this dataset is 0.000 eV/atom. The value obtained for the magnetization is 0.0 μB/cell. As for the formation energy: 231 meV per atom.


Record 4
DFT (PBE) results for an optimized crystal structure of BaHf2AlIn.

The structure belongs to space group P4/mmm (No. 123); the cell edges are 5.4957, 5.4957 and 5.0832 Å and the angles 90.00°, 90.00° and 90.00°. The distinct sites, in fractional coordinates, are Ba at (0.0000, 0.0000, 0.0000), Hf at (0.0000, 0.5000, 0.5000), Al at (0.5000, 0.5000, 0.0000) and In at (0.5000, 0.5000, 0.5000).

Its total DFT energy (no corrections) is -23.7 eV for the cell shown. The value obtained for the magnetization is 0.0 μB/cell. As for the formation energy: 913 meV per atom.


Record 5
DFT (PBE) results for an optimized crystal structure of BaHfAl2N.

The structure belongs to space group P4/mmm (No. 123); the cell edges are 4.2183, 4.2183 and 5.4163 Å and the angles 90.00°, 90.00° and 90.00°. The distinct sites, in fractional coordinates, are Ba at (0.0000, 0.0000, 0.0000), Hf at (0.5000, 0.5000, 0.0000), Al at (0.0000, 0.5000, 0.5000) and N at (0.0000, 0.0000, 0.5000).

Its total DFT energy (no corrections) is -25.4 eV for the cell shown. The value obtained for the magnetization is 0.0 μB/cell. The value obtained for the uncorrected formation energy is 2.29 eV/f.u.


Record 6
DFT (PBE) results for an optimized crystal structure of BaHfAlN3.

The structure belongs to space group P2_1/m (No. 11); the cell edges are 7.4340, 3.3926 and 8.0756 Å and the angles 90.00°, 106.81° and 90.00°. The distinct sites, in fractional coordinates, are Ba at (0.2048, 0.2500, 0.2238), Hf at (0.3419, 0.7500, 0.8717), Al at (0.0978, 0.2500, 0.6083), N at (0.1423, 0.2500, 0.8487), N at (0.1636, 0.7500, 0.5375) and N at (0.4587, 0.7500, 0.1352).

Its total DFT energy (no corrections) is -95.8 eV for the cell shown. The value obtained for the magnetization is 0.0 μB/cell. The value obtained for the uncorrected formation energy is -7.29 eV/f.u.


Record 7
DFT (PBE) results for an optimized crystal structure of BaHfNbAl2.

The structure belongs to space group P4/mmm (No. 123); the cell edges are 5.4296, 5.4296 and 4.9346 Å and the angles 90.00°, 90.00° and 90.00°. The distinct sites, in fractional coordinates, are Ba at (0.0000, 0.0000, 0.0000), Hf at (0.5000, 0.5000, 0.5000), Nb at (0.5000, 0.5000, 0.0000) and Al at (0.0000, 0.5000, 0.5000).

Its total DFT energy (no corrections) is -26.3 eV for the cell shown. The value obtained for the magnetization is 0.0 μB/cell. As for the formation energy: 630 meV per atom.


Record 8
DFT (PBE) results for an optimized crystal structure of Ba2HfAlO.

The structure belongs to space group P4/mmm (No. 123); the cell edges are 6.7685, 6.7685 and 3.5392 Å and the angles 90.00°, 90.00° and 90.00°. The distinct sites, in fractional coordinates, are Ba at (0.0000, 0.5000, 0.0000), Hf at (0.0000, 0.0000, 0.5000), Al at (0.5000, 0.5000, 0.0000) and O at (0.5000, 0.5000, 0.5000).

Its total DFT energy (no corrections) is -22.2 eV for the cell shown. The value obtained for the magnetization is 1.1 μB/cell. The value obtained for the uncorrected formation energy is 0.28 eV/f.u.


Record 9
DFT (PBE) results for an optimized crystal structure of Ba3HfAl2O9.

The structure belongs to space group P-3m1 (No. 164); the cell edges are 5.7142, 5.7142 and 7.0045 Å and the angles 90.00°, 90.00° and 120.00°. The distinct sites, in fractional coordinates, are Ba at (0.0000, 0.0000, 0.0000), Ba at (0.3333, 0.6667, 0.6732), Hf at (0.0000, 0.0000, 0.5000), Al at (0.3333, 0.6667, 0.1680), O at (0.0000, 0.5000, 0.0000) and O at (0.1724, 0.3447, 0.3253).

Its total DFT energy (no corrections) is -109.4 eV for the cell shown. The value obtained for the magnetization is 2.0 μB/cell. The value obtained for the uncorrected formation energy is -41.55 eV/f.u.


Record 10
DFT (PBE) results for an optimized crystal structure of Ba2HfAlPd.

The structure belongs to space group P4/mmm (No. 123); the cell edges are 6.2427, 6.2427 and 5.2159 Å and the angles 90.00°, 90.00° and 90.00°. The distinct sites, in fractional coordinates, are Ba at (0.0000, 0.5000, 0.0000), Hf at (0.0000, 0.0000, 0.5000), Al at (0.0000, 0.0000, 0.0000) and Pd at (0.5000, 0.5000, 0.5000).

Its total DFT energy (no corrections) is -19.2 eV for the cell shown. The value obtained for the magnetization is 0.7 μB/cell. As for the formation energy: 716 meV per atom.


Record 11
DFT (PBE) results for an optimized crystal structure of BaHf2AlZn.

The structure belongs to space group P4/mmm (No. 123); the cell edges are 5.4002, 5.4002 and 5.3308 Å and the angles 90.00°, 90.00° and 90.00°. The distinct sites, in fractional coordinates, are Ba at (0.0000, 0.0000, 0.0000), Hf at (0.0000, 0.5000, 0.0000), Al at (0.5000, 0.5000, 0.5000) and Zn at (0.0000, 0.0000, 0.5000).

Its total DFT energy (no corrections) is -16.9 eV for the cell shown. The value obtained for the magnetization is 0.0 μB/cell. As for the formation energy: 1986 meV per atom.


Record 12
DFT (PBE) results for an optimized crystal structure of Ba2AlHg2.

The structure belongs to space group I4/mmm (No. 139); the cell edges are 4.3367, 4.3367 and 19.6559 Å and the angles 90.00°, 90.00° and 90.00°. The distinct sites, in fractional coordinates, are Ba at (0.0000, 0.0000, 0.1007), Al at (0.0000, 0.0000, 0.5000) and Hg at (0.0000, 0.5000, 0.2500).

Its total DFT energy (no corrections) is -18.2 eV for the cell shown. Its energy above the most stable polymorph in this dataset is 0.075 eV/atom. The value obtained for the magnetization is 0.0 μB/cell. As for the formation energy: -185 meV per atom.